[1]
Compound: La2Er3
Source: the Alexandria database
Functional: PBE
Structure: optimized geometry

ΔH_f (0 K)   126 meV/atom

Lattice parameters (Å, degrees): 6.6948 16.1645 6.2600 90.00 90.00 90.00
Space group Ibam (No. 72)
Symmetry-distinct sites (fractional):
La1 0.1446 0.1905 0.0000
Er1 0.0000 0.0000 0.2500
Er2 0.1177 0.4103 0.0000



[2]
Compound: La3Er8
Source: the Alexandria database
Functional: PBE
Structure: optimized geometry

Polymorph energy (0 for the lowest one)   0.5143 eV/atom
ΔH_f (0 K)   554 meV/atom

Lattice parameters (Å, degrees): 10.2700 10.2700 12.1887 90.00 90.00 120.00
Space group R-3 (No. 148, hexagonal axes)
Symmetry-distinct sites (fractional):
La1 0.0000 0.5000 0.0000
Er1 0.0000 0.0000 0.3498
Er2 0.0015 0.8073 0.8893



[3]
Compound: La3Er13
Source: the Alexandria database
Functional: PBE
Structure: optimized geometry

Polymorph energy (0 for the lowest one)   0.0080 eV/atom
ΔH_f (0 K)   28 meV/atom

Lattice parameters (Å, degrees): 10.0530 10.0071 10.0794 90.00 90.00 90.00
Space group Amm2 (No. 38)
Symmetry-distinct sites (fractional):
La1 0.0000 0.0000 0.0000
La2 0.2495 0.0000 0.2551
Er1 0.0000 0.0000 0.5072
Er2 0.0000 0.2477 0.7531
Er3 0.2524 0.2494 0.5037
Er4 0.2534 0.0000 0.7517
Er5 0.5000 0.0000 0.0012
Er6 0.5000 0.0000 0.5072
Er7 0.5000 0.2472 0.7542



[4]
Compound: La13Er3
Source: the Alexandria database
Functional: PBE
Structure: optimized geometry

ΔH_f (0 K)   36 meV/atom

Lattice parameters (Å, degrees): 7.4510 11.9658 12.9147 90.00 90.00 90.00
Space group Amm2 (No. 38)
Symmetry-distinct sites (fractional):
La1 0.0000 0.0000 0.0001
La2 0.0000 0.0000 0.5000
La3 0.0000 0.2444 0.1695
La4 0.2508 0.0000 0.7486
La5 0.2525 0.2458 0.4183
La6 0.5000 0.0000 0.0022
La7 0.5000 0.2456 0.1682
Er1 0.2508 0.0000 0.2544
Er2 0.5000 0.0000 0.4968



[5]
Compound: La4Er
Source: the Alexandria database
Functional: PBE
Structure: optimized geometry

Polymorph energy (0 for the lowest one)   0.0000 eV/atom
ΔH_f (0 K)   21 meV/atom

Lattice parameters (Å, degrees): 3.7109 3.7109 25.7671 90.00 90.00 90.00
Space group I4/mmm (No. 139)
Symmetry-distinct sites (fractional):
La1 0.0000 0.0000 0.0967
La2 0.0000 0.0000 0.3019
Er1 0.0000 0.0000 0.5000



[6]
Compound: La7Er2
Source: the Alexandria database
Functional: PBE
Structure: optimized geometry

ΔH_f (0 K)   21 meV/atom

Lattice parameters (Å, degrees): 6.3594 6.3594 9.0614 90.00 90.00 120.00
Space group P-31m (No. 162)
Symmetry-distinct sites (fractional):
La1 0.0000 0.0000 0.0000
La2 0.0000 0.3329 0.6708
Er1 0.3333 0.6667 0.0000



Question: Look up the ΔH_f (0 K) of the fifth one.
Answer: 21 meV/atom